First-principles (GGA-PBE) data for crystalline Pr2Nd6Sc3 at its relaxed geometry, as listed in the Alexandria database.

Geometry as POSCAR:
```
Pr2Nd6Sc3
1.0
-0.3239 -2.1152 5.8347
1.3012 -4.8537 0.4948
13.6187 -15.0033 22.8573
Pr Sc Nd
2 3 6
direct
0.7586 0.7385 0.7206
0.2414 0.2615 0.2794
0.4436 0.4502 0.4570
0.0000 0.0000 0.0000
0.5564 0.5498 0.5430
0.8220 0.8245 0.8161
0.9075 0.9035 0.9106
0.0925 0.0965 0.0894
0.3240 0.3512 0.3716
0.6760 0.6488 0.6284
0.1780 0.1755 0.1839
```

Computed properties:
space group: P-1, No. 2

First-principles (GGA-PBE) data for crystalline PrNdSc4 at its relaxed geometry, as listed in the Alexandria database.

Geometry as POSCAR:
```
PrNdSc4
1.0
-2.7774 5.6653 0.8494
-0.8724 2.2672 5.8847
3.4355 4.9548 2.0441
Pr Sc Nd
1 4 1
direct
0.2500 0.2500 0.2500
0.6251 0.6251 0.1248
0.6251 0.1248 0.6251
0.1248 0.6251 0.6251
0.6251 0.6251 0.6251
0.0000 0.0000 0.0000
```

Computed properties:
space group: F-43m, No. 216

First-principles (GGA-PBE) data for crystalline PrNd4Sc5 at its relaxed geometry, as listed in the Alexandria database.

Geometry as POSCAR:
```
PrNd4Sc5
1.0
3.6538 0.0000 0.0000
0.0000 3.6538 0.0000
0.0000 0.0000 22.1052
Nd Sc Pr
4 5 1
direct
0.0000 0.0000 0.2006
0.0000 0.0000 0.5999
0.0000 0.0000 0.4001
0.0000 0.0000 0.7994
0.5000 0.5000 0.6997
0.5000 0.5000 0.5000
0.5000 0.5000 0.3003
0.5000 0.5000 0.8991
0.5000 0.5000 0.1009
0.0000 0.0000 0.0000
```

Computed properties:
space group: P4/mmm, No. 123

First-principles (GGA-PBE) data for crystalline Pr5Nd5Sc2 at its relaxed geometry, as listed in the Alexandria database.

Geometry as POSCAR:
```
Pr5Nd5Sc2
1.0
-1.9694 4.6800 -0.6782
-2.4773 0.6426 -7.7188
-10.7220 -1.7266 -0.1251
Nd Pr Sc
5 5 2
direct
0.5000 0.5000 0.5000
0.5790 0.0912 0.7509
0.4210 0.9088 0.2491
0.6681 0.6635 0.0004
0.3319 0.3365 0.9996
0.0000 0.0000 0.0000
0.7460 0.2564 0.2516
0.2540 0.7436 0.7484
0.1627 0.1735 0.5012
0.8373 0.8265 0.4988
0.0843 0.5841 0.2473
0.9157 0.4159 0.7527
```

Computed properties:
space group: C2/m, No. 12

First-principles (GGA-PBE) data for crystalline Pr7NdSc2 at its relaxed geometry, as listed in the Alexandria database.

Geometry as POSCAR:
```
Pr7NdSc2
1.0
5.6815 0.0000 0.0000
0.0000 9.0359 -0.2232
0.0000 -4.2757 7.9634
Nd Sc Pr
1 2 7
direct
0.0000 0.0000 0.0000
0.5000 0.7015 0.2985
0.5000 0.2985 0.7015
0.0000 0.7478 0.2522
0.5000 0.3056 0.0609
0.5000 0.5000 0.5000
0.5000 0.6944 0.9391
0.5000 0.0609 0.3056
0.5000 0.9391 0.6944
0.0000 0.2522 0.7478
```

Computed properties:
space group: Cmmm, No. 65

First-principles (GGA-PBE) data for crystalline Pr5Nd8Sc at its relaxed geometry, as listed in the Alexandria database.

Geometry as POSCAR:
```
Pr5Nd8Sc
1.0
-5.6174 5.1429 -4.8331
-7.4516 -3.3665 3.8689
6.7815 3.4340 4.8561
Pr Nd Sc
5 8 1
direct
0.0653 0.0336 0.3031
0.4971 0.0000 0.4971
0.7919 0.7370 0.6259
0.8889 0.2630 0.0549
0.2695 0.9664 0.0318
0.4246 0.3162 0.9924
0.5665 0.9212 0.8814
0.1079 0.7043 0.4851
0.6762 0.6838 0.1085
0.7808 0.2957 0.4036
0.9603 0.0788 0.6453
0.4359 0.4271 0.4896
0.0625 0.5729 0.0088
0.2224 0.5000 0.7224
```

Computed properties:
space group: C2, No. 5

First-principles (GGA-PBE) data for crystalline Pr2NdSc at its relaxed geometry, as listed in the Alexandria database.

Geometry as POSCAR:
```
Pr2NdSc
1.0
-0.1198 4.3325 -2.6719
-1.9249 -4.9858 -3.1469
-3.4489 1.8956 3.2284
Pr Nd Sc
2 1 1
direct
0.2499 0.4998 0.7499
0.0000 0.0000 0.0000
0.7500 0.5001 0.2500
0.5001 0.0002 0.5000
```

Computed properties:
space group: I-4m2, No. 119

First-principles (GGA-PBE) data for crystalline Pr3NdSc2 at its relaxed geometry, as listed in the Alexandria database.

Geometry as POSCAR:
```
Pr3NdSc2
1.0
-1.2647 5.2836 -1.1170
-8.5287 -1.6943 1.6426
4.2615 2.5672 7.3182
Sc Pr Nd
4 6 2
direct
0.4930 0.4853 0.6927
0.9930 0.3073 0.5147
0.4930 0.6927 0.4853
0.9930 0.5147 0.3073
0.9930 0.0992 0.0992
0.4930 0.9008 0.9008
0.4930 0.1076 0.6286
0.9930 0.8924 0.3714
0.9930 0.3714 0.8924
0.4930 0.6286 0.1076
0.9930 0.7303 0.7303
0.4930 0.2697 0.2697
```

Computed properties:
space group: Cmcm, No. 63

First-principles (GGA-PBE) data for crystalline Pr8Nd6Sc at its relaxed geometry, as listed in the Alexandria database.

Geometry as POSCAR:
```
Pr8Nd6Sc
1.0
-4.9676 -6.9806 -2.3102
4.2982 -7.6387 -1.3849
-1.0619 -6.3155 6.1425
Nd Pr Sc
6 8 1
direct
0.5428 0.2394 0.0966
0.7606 0.9034 0.4572
0.2394 0.0966 0.5428
0.4572 0.7606 0.9034
0.9034 0.4572 0.7606
0.0966 0.5428 0.2394
0.2839 0.2443 0.8870
0.2443 0.8870 0.2839
0.4218 0.4218 0.4218
0.5782 0.5782 0.5782
0.7557 0.1130 0.7161
0.8870 0.2839 0.2443
0.7161 0.7557 0.1130
0.1130 0.7161 0.7557
0.0000 0.0000 0.0000
```

Computed properties:
space group: R-3, No. 148

First-principles (GGA-PBE) data for crystalline Pr3Nd4Sc at its relaxed geometry, as listed in the Alexandria database.

Geometry as POSCAR:
```
Pr3Nd4Sc
1.0
-2.6931 -5.4946 -1.7007
6.2243 -3.5670 1.6677
-3.8383 -1.5358 11.0403
Nd Pr Sc
8 6 2
direct
0.1418 0.8710 0.5000
0.4863 0.8716 0.2572
0.1533 0.8738 0.0000
0.9863 0.1284 0.2428
0.6418 0.1290 0.0000
0.9863 0.1284 0.7572
0.4863 0.8716 0.7428
0.6533 0.1262 0.5000
0.4781 0.3790 0.2513
0.6471 0.6242 0.0000
0.9781 0.6210 0.7513
0.1471 0.3758 0.5000
0.4781 0.3790 0.7487
0.9781 0.6210 0.2487
0.1441 0.3765 0.0000
0.6441 0.6235 0.5000
```

Computed properties:
space group: Pmn2_1, No. 31

First-principles (GGA-PBE) data for crystalline PrNd10Sc4 at its relaxed geometry, as listed in the Alexandria database.

Geometry as POSCAR:
```
PrNd10Sc4
1.0
6.4239 0.0000 2.9007
3.2119 8.6069 1.4503
-0.3301 0.0000 9.2946
Nd Pr Sc
10 1 4
direct
0.0372 0.8469 0.6081
0.3547 0.6081 0.1531
0.8841 0.6081 0.1531
0.9628 0.1531 0.3919
0.2500 0.5000 0.5000
0.6453 0.3919 0.8469
0.1159 0.3919 0.8469
0.4922 0.1531 0.3919
0.5078 0.8469 0.6081
0.7500 0.5000 0.5000
0.0000 0.0000 0.0000
0.4312 0.8880 0.2497
0.6809 0.7503 0.8880
0.3191 0.2497 0.1120
0.5688 0.1120 0.7503
```

Computed properties:
space group: I4/m, No. 87

First-principles (GGA-PBE) data for crystalline Pr8Nd3Sc2 at its relaxed geometry, as listed in the Alexandria database.

Geometry as POSCAR:
```
Pr8Nd3Sc2
1.0
6.0659 0.3037 1.3310
1.9667 8.5315 1.4936
0.8235 -0.7186 8.8143
Pr Sc Nd
8 2 3
direct
0.0566 0.8447 0.8447
0.9434 0.1553 0.1553
0.7947 0.4454 0.4454
0.3284 0.9213 0.4295
0.3284 0.4295 0.9213
0.6716 0.5705 0.0787
0.6716 0.0787 0.5705
0.2053 0.5546 0.5546
0.6436 0.7115 0.7115
0.3564 0.2885 0.2885
0.5000 0.0000 0.0000
0.0000 0.7552 0.2448
0.0000 0.2448 0.7552
```

Computed properties:
space group: C2/m, No. 12

no.,size of the total moment (μB per cell),DFT formation energy (kJ/mol of formula units)
1,0.0,53
2,6.6,133
3,0.0,51
4,0.0,44
5,0.0,560
6,0.0,227
7,0.0,17
8,0.0,147
9,0.0,157
10,0.0,38
11,1.2,750
12,0.0,190